[1]
First-principles (PBE-GGA) data for a relaxed structure of Ba2TaRh, as listed in the Alexandria database.

The structure in POSCAR format:
```
Ba2TaRh
1.0
0.0000 3.8608 3.8608
3.8608 0.0000 3.8608
3.8608 3.8608 0.0000
Ba Ta Rh
2 1 1
Direct
0.2500 0.2500 0.2500
0.7500 0.7500 0.7500
0.0000 0.0000 0.0000
0.5000 0.5000 0.5000
```

Results
**Energy relative to the lowest polymorph listed for this composition**: 943 meV/atom
**Total energy**: -4.617 eV per atom
**Spin magnetization**: 0.00 μB per atom
**Formation enthalpy at 0 K**: 1145 meV/atom



[2]
First-principles (PBE-GGA) data for a relaxed structure of CeTlGaI6, as listed in the Alexandria database.

The structure in POSCAR format:
```
CeTlGaI6
1.0
7.7731 0.0000 0.0000
0.0000 7.7731 0.0000
0.0000 0.0000 14.2908
Ce Tl Ga I
2 2 2 12
Direct
0.0000 0.0000 0.0000
0.5000 0.5000 0.5000
0.0000 0.0000 0.6663
0.5000 0.5000 0.1663
0.0000 0.0000 0.3295
0.5000 0.5000 0.8295
0.1824 0.1824 0.1619
0.1998 0.1998 0.8523
0.2242 0.2242 0.4919
0.2758 0.7242 0.9919
0.3002 0.6998 0.3523
0.3176 0.6824 0.6619
0.6824 0.3176 0.6619
0.6998 0.3002 0.3523
0.7242 0.2758 0.9919
0.7758 0.7758 0.4919
0.8002 0.8002 0.8523
0.8176 0.8176 0.1619
```

Results
**Total energy**: -3.149 eV per atom
**Spin magnetization**: 0.01 μB per atom
**Formation energy (no corrections)**: -857 meV per atom



[3]
First-principles (PBE-GGA) data for a relaxed structure of HoGa8Fe4, as listed in the Alexandria database.

The structure in POSCAR format:
```
HoGa8Fe4
1.0
-4.3457 4.3457 2.5323
4.3457 -4.3457 2.5323
4.3457 4.3457 -2.5323
Ho Ga Fe
1 8 4
Direct
0.0000 0.0000 0.0000
0.0000 0.3390 0.3390
0.0000 0.6610 0.6610
0.2789 0.5000 0.7789
0.3390 0.0000 0.3390
0.5000 0.2789 0.7789
0.5000 0.7211 0.2211
0.6610 0.0000 0.6610
0.7211 0.5000 0.2211
0.0000 0.0000 0.5000
0.0000 0.5000 0.0000
0.5000 0.0000 0.0000
0.5000 0.5000 0.5000
```

Results
**Total energy**: -5.103 eV per atom
**Spin magnetization**: 0.47 μB per atom
**Formation enthalpy at 0 K**: -285 meV/atom